1.
Pm3Mg4Ir4 (PBE, optimized geometry); DOS at the Fermi energy = 4.6 states/eV/cell; calculated formation energy = -0.489 eV/atom
1.0
-1.262 3.842 -0.751
-5.396 -2.737 -4.937
-1.401 -1.041 8.284
Ir Pm Mg
4 3 4
Direct
0.500 0.815 0.000 Ir
0.229 0.729 0.457 Ir
0.771 0.271 0.543 Ir
0.500 0.185 0.000 Ir
0.119 0.119 0.237 Pm
0.000 0.500 0.000 Pm
0.881 0.881 0.763 Pm
0.326 0.519 0.653 Mg
0.326 0.134 0.653 Mg
0.674 0.866 0.347 Mg
0.674 0.481 0.347 Mg

=====

2.
PmMgIr (PBE, optimized geometry); DOS at the Fermi energy = 6.8 states/eV/cell; calculated formation energy = -0.619 eV/atom; ΔE to the lowest computed polymorph = 0.000 eV per atom
1.0
4.159 0.000 0.000
0.000 7.357 0.008
0.000 -0.009 12.774
Pm Ir Mg
6 6 6
Direct
0.750 0.541 0.380 Pm
0.750 0.044 0.285 Pm
0.250 0.459 0.620 Pm
0.250 0.347 0.916 Pm
0.750 0.653 0.084 Pm
0.250 0.956 0.715 Pm
0.750 0.754 0.586 Ir
0.750 0.247 0.080 Ir
0.250 0.748 0.249 Ir
0.750 0.252 0.751 Ir
0.250 0.753 0.920 Ir
0.250 0.246 0.414 Ir
0.250 0.002 0.085 Mg
0.250 0.866 0.460 Mg
0.250 0.370 0.202 Mg
0.750 0.134 0.540 Mg
0.750 0.998 0.915 Mg
0.750 0.630 0.798 Mg

=====

3.
Pm3MgIr8 (PBE, optimized geometry); DOS at the Fermi energy = 13.8 states/eV/cell; calculated formation energy = -0.606 eV/atom
1.0
5.149 0.000 1.554
2.340 4.586 1.554
-0.005 -0.003 9.321
Ir Pm Mg
8 3 1
Direct
0.938 0.938 0.684 Ir
0.938 0.440 0.684 Ir
0.936 0.437 0.190 Ir
0.188 0.188 0.436 Ir
0.437 0.936 0.190 Ir
0.440 0.938 0.684 Ir
0.688 0.688 0.937 Ir
0.437 0.437 0.190 Ir
0.997 0.997 0.010 Pm
0.376 0.376 0.873 Pm
0.503 0.503 0.492 Pm
0.873 0.873 0.380 Mg

=====

4.
PmMg2Ir (PBE, optimized geometry); DOS at the Fermi energy = 5.4 states/eV/cell; calculated formation energy = -0.460 eV/atom
1.0
4.201 0.000 0.000
-2.100 5.087 0.000
0.000 0.000 8.392
Ir Mg Pm
2 4 2
Direct
0.766 0.533 0.750 Ir
0.234 0.467 0.250 Ir
0.343 0.687 0.943 Mg
0.657 0.313 0.443 Mg
0.657 0.313 0.057 Mg
0.343 0.687 0.557 Mg
0.062 0.124 0.750 Pm
0.938 0.876 0.250 Pm

=====

5.
PmMgIr4 (PBE, optimized geometry); DOS at the Fermi energy = 8.1 states/eV/cell; calculated formation energy = -0.489 eV/atom
1.0
5.331 0.000 0.000
2.665 4.617 0.000
2.665 1.539 4.353
Ir Mg Pm
4 1 1
Direct
0.625 0.625 0.625 Ir
0.124 0.625 0.625 Ir
0.625 0.625 0.124 Ir
0.625 0.124 0.625 Ir
0.000 0.000 0.000 Mg
0.250 0.250 0.250 Pm

=====

6.
PmPrMgIr (PBE, optimized geometry); DOS at the Fermi energy = 2.9 states/eV/cell; calculated formation energy = -0.301 eV/atom
1.0
5.194 0.000 0.000
2.597 4.498 0.000
2.597 1.499 4.241
Pr Mg Pm Ir
1 1 1 1
Direct
0.250 0.250 0.250 Pr
0.500 0.500 0.500 Mg
0.750 0.750 0.750 Pm
0.000 0.000 0.000 Ir

=====

7.
PmMgIrRh (PBE, optimized geometry); DOS at the Fermi energy = 1.7 states/eV/cell; calculated formation energy = -0.494 eV/atom
1.0
4.727 0.000 0.000
2.363 4.094 0.000
2.363 1.365 3.859
Rh Pm Mg Ir
1 1 1 1
Direct
0.500 0.500 0.500 Rh
0.750 0.750 0.750 Pm
0.250 0.250 0.250 Mg
0.000 0.000 0.000 Ir

=====

8.
PmMgIrRu (PBE, optimized geometry); DOS at the Fermi energy = 3.0 states/eV/cell; calculated formation energy = -0.170 eV/atom
1.0
-1.604 4.422 -0.150
-1.368 1.869 -4.097
-4.564 0.822 -0.804
Mg Pm Ru Ir
1 1 1 1
Direct
0.750 0.750 0.750 Mg
0.250 0.250 0.250 Pm
0.000 0.000 0.000 Ru
0.500 0.500 0.500 Ir

=====

9.
PmMg2Si2Ir (PBE, optimized geometry); DOS at the Fermi energy = 3.8 states/eV/cell; E = -27.2 eV for the cell shown
1.0
5.049 0.000 0.000
0.000 5.049 0.000
-2.524 -2.524 5.357
Pm Si Mg Ir
1 2 2 1
Direct
0.500 0.500 0.000 Pm
0.789 0.789 0.578 Si
0.211 0.211 0.422 Si
0.750 0.250 0.500 Mg
0.250 0.750 0.500 Mg
0.000 0.000 0.000 Ir

=====

10.
Pm2MgSi4Ir3 (PBE, optimized geometry); DOS at the Fermi energy = 4.7 states/eV/cell; E = -68.1 eV for the cell shown
1.0
-2.807 0.377 -3.098
3.076 -0.377 -2.832
-1.295 -10.126 -0.059
Si Ir Pm Mg
4 3 2 1
Direct
0.000 0.500 0.354 Si
0.000 0.000 0.000 Si
0.500 0.500 0.000 Si
0.500 0.000 0.646 Si
0.000 0.500 0.120 Ir
0.000 0.000 0.500 Ir
0.500 0.000 0.880 Ir
0.500 0.000 0.238 Pm
0.000 0.500 0.762 Pm
0.500 0.500 0.500 Mg

=====

11.
PmMgSi2Ir (PBE, optimized geometry); DOS at the Fermi energy = 1.7 states/eV/cell; E = -29.8 eV for the cell shown
1.0
4.069 0.000 0.000
0.000 4.069 0.000
-2.034 -2.034 5.438
Pm Ir Si Mg
1 1 2 1
Direct
0.000 0.000 0.000 Pm
0.250 0.750 0.500 Ir
0.390 0.390 0.780 Si
0.610 0.610 0.220 Si
0.750 0.250 0.500 Mg

=====

12.
PmMgSi2Ir2 (PBE, optimized geometry); DOS at the Fermi energy = 3.5 states/eV/cell; E = -39.7 eV for the cell shown
1.0
-1.746 -0.469 -3.843
3.433 -2.263 1.063
-3.987 -4.916 2.412
Mg Si Ir Pm
1 2 2 1
Direct
0.000 0.000 0.500 Mg
0.667 0.333 0.721 Si
0.333 0.667 0.279 Si
0.667 0.333 0.353 Ir
0.333 0.667 0.647 Ir
0.000 0.000 0.000 Pm